<a>
First-principles (GGA+U) data for a relaxed structure of CoAgTeO, as listed in OQMD via LeMat-Bulk.

Structure (CIF):
```
data_CoAgTeO
_chemical_formula_sum 'Co2 Ag2 Te2 O2'
_symmetry_space_group_name_H-M 'P 4/n m m'
_symmetry_Int_Tables_number 129
_cell_length_a 4.2619
_cell_length_b 4.2619
_cell_length_c 7.2967
_cell_angle_alpha 90.00
_cell_angle_beta 90.00
_cell_angle_gamma 90.00
loop_
_symmetry_equiv_pos_as_xyz
'x,y,z'
'-x,-y,-z'
'-y+1/2,x,z'
'y+1/2,-x,-z'
'-x+1/2,-y+1/2,z'
'x+1/2,y+1/2,-z'
'y,-x+1/2,z'
'-y,x+1/2,-z'
'x+1/2,-y,-z'
'-x+1/2,y,z'
'-y,-x,-z'
'y,x,z'
'-x,y+1/2,-z'
'x,-y+1/2,z'
'y+1/2,x+1/2,-z'
'-y+1/2,-x+1/2,z'
loop_
_atom_site_label
_atom_site_type_symbol
_atom_site_fract_x
_atom_site_fract_y
_atom_site_fract_z
Co1 Co 0.2500 0.7500 0.0000
Ag1 Ag 0.2500 0.2500 0.2650
Te1 Te 0.2500 0.2500 0.8178
O1 O 0.2500 0.2500 0.5617
```

Output
ρ = 7.8 g/cm3
Volume = 16.57 Å³/atom

<b>
First-principles (GGA+U) data for a relaxed structure of CoAgTeO, as listed in OQMD via LeMat-Bulk.

Structure (CIF):
```
data_CoAgTeO
_chemical_formula_sum 'Co2 Ag2 Te2 O2'
_symmetry_space_group_name_H-M 'P 4/n m m'
_symmetry_Int_Tables_number 129
_cell_length_a 4.0458
_cell_length_b 4.0458
_cell_length_c 8.2090
_cell_angle_alpha 90.00
_cell_angle_beta 90.00
_cell_angle_gamma 90.00
loop_
_symmetry_equiv_pos_as_xyz
'x,y,z'
'-x,-y,-z'
'-y+1/2,x,z'
'y+1/2,-x,-z'
'-x+1/2,-y+1/2,z'
'x+1/2,y+1/2,-z'
'y,-x+1/2,z'
'-y,x+1/2,-z'
'x+1/2,-y,-z'
'-x+1/2,y,z'
'-y,-x,-z'
'y,x,z'
'-x,y+1/2,-z'
'x,-y+1/2,z'
'y+1/2,x+1/2,-z'
'-y+1/2,-x+1/2,z'
loop_
_atom_site_label
_atom_site_type_symbol
_atom_site_fract_x
_atom_site_fract_y
_atom_site_fract_z
Co1 Co 0.2500 0.2500 0.2355
Ag1 Ag 0.2500 0.7500 0.0000
Te1 Te 0.2500 0.2500 0.6979
O1 O 0.2500 0.2500 0.4673
```

Output
ρ = 7.7 g/cm3
Volume = 16.80 Å³/atom

<c>
First-principles (GGA+U) data for a relaxed structure of CoAgTeO, as listed in OQMD via LeMat-Bulk.

Structure (CIF):
```
data_CoAgTeO
_chemical_formula_sum 'Co2 Ag2 Te2 O2'
_symmetry_space_group_name_H-M 'P 4/n m m'
_symmetry_Int_Tables_number 129
_cell_length_a 3.9994
_cell_length_b 3.9994
_cell_length_c 10.5623
_cell_angle_alpha 90.00
_cell_angle_beta 90.00
_cell_angle_gamma 90.00
loop_
_symmetry_equiv_pos_as_xyz
'x,y,z'
'-x,-y,-z'
'-y+1/2,x,z'
'y+1/2,-x,-z'
'-x+1/2,-y+1/2,z'
'x+1/2,y+1/2,-z'
'y,-x+1/2,z'
'-y,x+1/2,-z'
'x+1/2,-y,-z'
'-x+1/2,y,z'
'-y,-x,-z'
'y,x,z'
'-x,y+1/2,-z'
'x,-y+1/2,z'
'y+1/2,x+1/2,-z'
'-y+1/2,-x+1/2,z'
loop_
_atom_site_label
_atom_site_type_symbol
_atom_site_fract_x
_atom_site_fract_y
_atom_site_fract_z
Co1 Co 0.2500 0.2500 0.0114
Ag1 Ag 0.2500 0.7500 0.5000
Te1 Te 0.2500 0.2500 0.6906
O1 O 0.2500 0.7500 0.0000
```

Output
ρ = 6.1 g/cm3
Volume = 21.12 Å³/atom

<d>
First-principles (GGA+U) data for a relaxed structure of CoAgTeO, as listed in OQMD via LeMat-Bulk.

Structure (CIF):
```
data_CoAgTeO
_chemical_formula_sum 'Co4 Ag4 Te4 O4'
_symmetry_space_group_name_H-M 'P 21 21 21'
_symmetry_Int_Tables_number 19
_symmetry_space_group_name_Hall 'P 2ac 2ab'
_cell_length_a 5.8597
_cell_length_b 6.9845
_cell_length_c 7.5223
_cell_angle_alpha 90.00
_cell_angle_beta 90.00
_cell_angle_gamma 90.00
loop_
_atom_site_label
_atom_site_type_symbol
_atom_site_fract_x
_atom_site_fract_y
_atom_site_fract_z
Co1 Co 0.0583 0.1607 0.0956
Ag1 Ag 0.0619 0.4909 0.7805
Te1 Te 0.0651 0.7698 0.0681
O1 O 0.1336 0.7457 0.5917
```

Output
ρ = 6.7 g/cm3
Volume = 19.24 Å³/atom

Referenced to the most stable arrangement, the calculated values in eV/atom are <a> 0.495; <b> 0.373; <c> 0.000; <d> 0.086.